1.
A plane-wave DFT calculation with GGA-PBE was carried out for a relaxed structure of FeCo2Tc.

CIF file:
```
data_FeCo2Tc
_chemical_formula_sum 'Fe4 Co8 Tc4'
_space_group_name_H-M_alt 'I -4 2 d'
_space_group_IT_number 122
_space_group_name_Hall 'I -4 2bw'
_cell_length_a 3.454
_cell_length_b 3.454
_cell_length_c 16.749
_cell_angle_alpha 90.00
_cell_angle_beta 90.00
_cell_angle_gamma 90.00
loop_
_atom_site_label
_atom_site_type_symbol
_atom_site_fract_x
_atom_site_fract_y
_atom_site_fract_z
Fe1 Fe 0.000 0.000 0.000
Co1 Co 0.230 0.250 0.125
Tc1 Tc 0.000 0.000 0.500
```

Summary:
total magnetization	0.0	μB per formula unit
energy relative to the elements	562	meV/atom

2.
A plane-wave DFT calculation with GGA-PBE was carried out for a relaxed structure of TiZnNiCl.

CIF file:
```
data_TiZnNiCl
_chemical_formula_sum 'Ti2 Zn2 Ni2 Cl2'
_space_group_name_H-M_alt 'C 1 m 1'
_space_group_IT_number 8
_cell_length_a 5.404
_cell_length_b 3.076
_cell_length_c 8.695
_cell_angle_alpha 90.00
_cell_angle_beta 102.17
_cell_angle_gamma 90.00
loop_
_space_group_symop_operation_xyz
'x,y,z'
'x,-y,z'
'x+1/2,y+1/2,z'
'x+1/2,-y+1/2,z'
loop_
_atom_site_label
_atom_site_type_symbol
_atom_site_fract_x
_atom_site_fract_y
_atom_site_fract_z
Ti1 Ti 0.000 0.000 0.000
Zn1 Zn 0.362 0.500 0.591
Ni1 Ni 0.100 0.500 0.794
Cl1 Cl 0.236 0.500 0.200
```

Summary:
total magnetization	0.8	μB per formula unit
raw formation energy	-0.433	eV/atom

3.
A plane-wave DFT calculation with GGA-PBE was carried out for a relaxed structure of Ce2PrNi.

CIF file:
```
data_Ce2PrNi
_chemical_formula_sum 'Ce2 Pr1 Ni1'
_space_group_name_H-M_alt 'P 4/m m m'
_space_group_IT_number 123
_space_group_name_Hall '-P 4 2'
_cell_length_a 3.543
_cell_length_b 3.543
_cell_length_c 8.355
_cell_angle_alpha 90.00
_cell_angle_beta 90.00
_cell_angle_gamma 90.00
loop_
_atom_site_label
_atom_site_type_symbol
_atom_site_fract_x
_atom_site_fract_y
_atom_site_fract_z
Ce1 Ce 0.000 0.000 0.175
Pr1 Pr 0.500 0.500 0.500
Ni1 Ni 0.500 0.500 0.000
```

Summary:
total magnetization	0.0	μB per formula unit
energy relative to the elements	-74	meV/atom

4.
A plane-wave DFT calculation with GGA-PBE was carried out for a relaxed structure of YTiPt3.

CIF file:
```
data_YTiPt3
_chemical_formula_sum 'Y1 Ti1 Pt3'
_space_group_name_H-M_alt 'P m -3 m'
_space_group_IT_number 221
_space_group_name_Hall '-P 4 2 3'
_cell_length_a 4.744
_cell_length_b 4.744
_cell_length_c 4.744
_cell_angle_alpha 90.00
_cell_angle_beta 90.00
_cell_angle_gamma 90.00
loop_
_atom_site_label
_atom_site_type_symbol
_atom_site_fract_x
_atom_site_fract_y
_atom_site_fract_z
Y1 Y 0.000 0.000 0.000
Ti1 Ti 0.500 0.500 0.500
Pt1 Pt 0.000 0.500 0.500
```

Summary:
total magnetization	0.0	μB per formula unit
energy relative to the elements	-390	meV/atom

5.
A plane-wave DFT calculation with GGA-PBE was carried out for a relaxed structure of Tb2Nd3Tm6.

CIF file:
```
data_Tb2Nd3Tm6
_chemical_formula_sum 'Tb4 Nd6 Tm12'
_space_group_name_H-M_alt 'I 4/m m m'
_space_group_IT_number 139
_space_group_name_Hall '-I 4 2'
_cell_length_a 4.731
_cell_length_b 4.731
_cell_length_c 33.092
_cell_angle_alpha 90.00
_cell_angle_beta 90.00
_cell_angle_gamma 90.00
loop_
_atom_site_label
_atom_site_type_symbol
_atom_site_fract_x
_atom_site_fract_y
_atom_site_fract_z
Tb1 Tb 0.000 0.000 0.046
Nd1 Nd 0.000 0.000 0.295
Nd2 Nd 0.000 0.000 0.500
Tm1 Tm 0.000 0.000 0.192
Tm2 Tm 0.000 0.500 0.121
```

Summary:
total magnetization	0.0	μB per formula unit
energy relative to the elements	273	meV/atom

6.
A plane-wave DFT calculation with GGA-PBE was carried out for a relaxed structure of KY2Pb.

CIF file:
```
data_KY2Pb
_chemical_formula_sum 'K4 Y8 Pb4'
_space_group_name_H-M_alt 'I -4 2 d'
_space_group_IT_number 122
_space_group_name_Hall 'I -4 2bw'
_cell_length_a 4.956
_cell_length_b 4.956
_cell_length_c 23.093
_cell_angle_alpha 90.00
_cell_angle_beta 90.00
_cell_angle_gamma 90.00
loop_
_atom_site_label
_atom_site_type_symbol
_atom_site_fract_x
_atom_site_fract_y
_atom_site_fract_z
K1 K 0.000 0.000 0.000
Y1 Y 0.218 0.250 0.625
Pb1 Pb 0.000 0.000 0.500
```

Summary:
total magnetization	0.0	μB per formula unit
energy relative to the elements	342	meV/atom